# 1
# YHg2TeRu

An optimized crystal structure of YHg2TeRu (PBE-GGA, Alexandria).

Results
ΔE_f (raw) = 1.0745 eV per atom
magnetic moment = 2.2 μB per formula unit

Unit cell a=5.409 b=5.409 c=5.731 alpha=90.00 beta=90.00 gamma=90.00
Element x y z (fractional)
Y1 0.000 0.000 0.000
Hg1 0.000 0.500 0.500
Hg2 0.500 0.000 0.500
Te1 0.000 0.000 0.500
Ru1 0.500 0.500 0.000


# 2
# ThHgRu

An optimized crystal structure of ThHgRu (PBE-GGA, Alexandria).

Results
ΔE_f = -0.44 eV per atom
magnetic moment = 0.0 μB per formula unit
ΔE to the lowest computed polymorph = 0.0 meV/atom

Unit cell a=9.313 b=9.313 c=3.957 alpha=90.00 beta=90.00 gamma=156.23
Element x y z (fractional)
Th1 0.089 0.911 0.750
Th2 0.911 0.089 0.250
Hg1 0.288 0.712 0.750
Hg2 0.712 0.288 0.250
Ru1 0.441 0.559 0.750
Ru2 0.559 0.441 0.250


# 3
# Th5Hg2Ru2

An optimized crystal structure of Th5Hg2Ru2 (PBE-GGA, Alexandria).

Results
ΔE_f = -0.20 eV per atom
magnetic moment = 0.0 μB per formula unit

Unit cell a=10.285 b=10.285 c=10.285 alpha=63.87 beta=131.59 gamma=140.94
Element x y z (fractional)
Th1 0.226 0.032 0.259
Th2 0.226 0.468 0.694
Th3 0.393 0.433 0.460
Th4 0.687 0.130 0.245
Th5 0.687 0.942 0.057
Th6 0.774 0.532 0.306
Th7 0.774 0.968 0.741
Th8 0.885 0.442 0.755
Th9 0.885 0.630 0.943
Th10 0.974 0.933 0.540
Hg1 0.251 0.393 0.067
Hg2 0.251 0.684 0.358
Hg3 0.325 0.184 0.933
Hg4 0.325 0.893 0.642
Ru1 0.470 0.736 0.234
Ru2 0.503 0.236 0.766
Ru3 0.718 0.218 0.500
Ru4 0.718 0.718 0.000


Table of calculated volume (Å³/f.u.), in record order: 168, 69, 253